(1)
Density functional theory data (PBE) for crystalline Ag2RhAu at its relaxed geometry.

Cell lengths 2.8088, 2.8088, 9.7783 Å; angles 90.00, 90.00, 117.79 degrees
With the nearest neighbours (Å) after each atom.
Fractional positions:
1 Au 0.0000 0.0000 0.4941  2 Rh 2.80, 6 Au 2.81-2.90, 2 Ag 2.90
2 Ag 0.0000 0.0000 0.0055  2 Rh 2.79, 8 Ag 2.81-2.90
3 Ag 0.5000 0.5000 0.7513  8 Ag 2.81-2.90, 2 Au 2.90
4 Rh 0.5000 0.5000 0.2490  2 Ag 2.79, 2 Au 2.80, 6 Rh 2.81-2.90

Calculated values
Magnetization = 0.11 μB/atom
E = -3.909 eV per atom
E_form = 0.174 eV per atom

=====

(2)
Density functional theory data (PBE) for crystalline TcAgCl3 at its relaxed geometry.

Cell lengths 4.9145, 4.9145, 4.9145 Å; angles 90.00, 90.00, 90.00 degrees
With the nearest neighbours (Å) after each atom.
Fractional positions:
1 Tc 0.0000 0.0000 0.0000  6 Cl 2.46
2 Cl 0.5000 0.0000 0.0000  2 Tc 2.46
3 Cl 0.0000 0.5000 0.0000  2 Tc 2.46
4 Cl 0.0000 0.0000 0.5000  2 Tc 2.46
5 Ag 0.5000 0.5000 0.5000  12 Cl 3.48

Calculated values
Magnetization = 0.59 μB/atom
Distance to the lowest polymorph of the same formula = 0.000 kcal/mol of atoms
Formation energy without anion corrections = -0.1 eV per formula unit
E = -3.777 eV per atom